1.
Below is a geometry-optimized Ca3Bi4Pb structure, with properties calculated at the PBE-GGA level.

## Properties
uncorrected energy	-28.651	eV/f.u.
calculated volume	35.6	Å³/atom
calculated formation energy	-0.43	eV per atom
M_tot	0.00	μB/f.u.
space-group type	No. 2

Geometry as POSCAR:
```
Ca3Bi4Pb
1.0
4.916 0.207 -0.503
-0.070 4.452 1.049
-2.000 -0.821 13.051
Ca Bi Pb
3 4 1
direct
0.500 0.500 0.000 Ca
0.481 0.824 0.352 Ca
0.519 0.176 0.648 Ca
0.996 0.704 0.592 Bi
0.881 0.590 0.817 Bi
0.119 0.410 0.183 Bi
0.004 0.296 0.408 Bi
0.000 0.000 0.000 Pb
```



2.
Below is a geometry-optimized Ca3Bi2Pb structure, with properties calculated at the PBE-GGA level.

## Properties
uncorrected energy	-21.819	eV/f.u.
calculated volume	32.4	Å³/atom
calculated formation energy	-0.72	eV per atom
M_tot	0.00	μB/f.u.
space-group type	No. 12

Geometry as POSCAR:
```
Ca3Bi2Pb
1.0
-4.472 -0.919 -1.491
-0.106 -3.840 2.684
-0.853 7.037 5.960
Ca Pb Bi
3 1 2
direct
0.831 0.332 0.661 Ca
0.500 0.500 0.000 Ca
0.169 0.668 0.339 Ca
0.000 0.000 0.000 Pb
0.642 0.140 0.284 Bi
0.358 0.860 0.716 Bi
```



3.
Below is a geometry-optimized CaBi2Pb structure, with properties calculated at the PBE-GGA level.

## Properties
uncorrected energy	-14.845	eV/f.u.
calculated volume	31.7	Å³/atom
calculated formation energy	-0.34	eV per atom
M_tot	0.00	μB/f.u.
space-group type	No. 123

Geometry as POSCAR:
```
CaBi2Pb
1.0
-2.579 3.319 -0.955
-3.286 -1.991 1.954
1.686 3.009 5.901
Ca Pb Bi
1 1 2
direct
0.500 0.500 0.000 Ca
0.500 0.500 0.500 Pb
0.000 0.000 0.240 Bi
0.000 0.000 0.760 Bi
```



4.
Below is a geometry-optimized Ca4Bi3Pb structure, with properties calculated at the PBE-GGA level.

## Properties
uncorrected energy	-28.662	eV/f.u.
calculated volume	32.5	Å³/atom
calculated formation energy	-0.66	eV per atom
M_tot	0.00	μB/f.u.
space-group type	No. 140

Geometry as POSCAR:
```
Ca4Bi3Pb
1.0
-5.666 3.246 1.295
-4.490 2.184 -8.010
-7.164 -6.067 0.977
Ca Bi Pb
8 6 2
direct
0.723 0.847 0.706 Ca
0.777 0.294 0.153 Ca
0.071 0.153 0.706 Ca
0.571 0.706 0.153 Ca
0.429 0.294 0.847 Ca
0.223 0.706 0.847 Ca
0.277 0.153 0.294 Ca
0.929 0.847 0.294 Ca
0.825 0.500 0.850 Bi
0.750 0.000 0.000 Bi
0.675 0.150 0.500 Bi
0.250 0.000 0.000 Bi
0.175 0.500 0.150 Bi
0.325 0.850 0.500 Bi
0.750 0.500 0.500 Pb
0.250 0.500 0.500 Pb
```